The following is a GGA-PBE calculation of DyErZn6 after structural relaxation, from OQMD via LeMat-Bulk.

Cell lengths 4.6484, 4.6484, 6.5796 Å; angles 90.00, 90.00, 90.00 degrees
Last column: nearest neighbours and their distance in Å.
Space group P4/mmm (No. 123)
Inequivalent atoms, fractional coordinates:
Dy (0.0000, 0.0000, 0.0000)  8 Zn 2.85
Er (0.5000, 0.5000, 0.5000)  8 Zn 2.84
Zn (0.0000, 0.0000, 0.5000)  8 Zn 2.84
Zn (0.0000, 0.5000, 0.2515)  2 Er 2.84, 4 Zn 2.84-2.85, 2 Dy 2.85
Zn (0.5000, 0.5000, 0.0000)  8 Zn 2.85

- Energy of formation from the pure elements: -0.291 eV/atom